Entry 1:
Crystalline K4AcPa3O12 at its relaxed geometry, computed with GGA-PBE.

VASP energy: -153.049 eV/f.u.
total moment: 0.000 Bohr magnetons per cell
space group: No. 229

a b c (Å): 7.741 7.741 7.741
angles (deg): 109.47 109.47 109.47
Fractional positions:
K: 0.000 0.000 0.500
K: 0.000 0.500 0.000
K: 0.500 0.000 0.000
K: 0.500 0.500 0.500
Ac: 0.000 0.000 0.000
Pa: 0.000 0.500 0.500
Pa: 0.500 0.000 0.500
Pa: 0.500 0.500 0.000
O: 0.000 0.270 0.270
O: 0.000 0.730 0.730
O: 0.250 0.500 0.750
O: 0.250 0.750 0.500
O: 0.270 0.000 0.270
O: 0.270 0.270 0.000
O: 0.500 0.250 0.750
O: 0.500 0.750 0.250
O: 0.730 0.000 0.730
O: 0.730 0.730 0.000
O: 0.750 0.250 0.500
O: 0.750 0.500 0.250



Entry 2:
Crystalline K2AcPaO6 at its relaxed geometry, computed with GGA-PBE.

VASP energy: -70.592 eV/f.u.
total moment: 1.365 Bohr magnetons per cell
space group: No. 225

a b c (Å): 6.424 6.424 6.424
angles (deg): 60.00 60.00 60.00
Fractional positions:
K: 0.250 0.250 0.250
K: 0.750 0.750 0.750
Ac: 0.000 0.000 0.000
Pa: 0.500 0.500 0.500
O: 0.267 0.267 0.733
O: 0.267 0.733 0.267
O: 0.267 0.733 0.733
O: 0.733 0.267 0.267
O: 0.733 0.267 0.733
O: 0.733 0.733 0.267



Entry 3:
Crystalline K3Ac2PaO6 at its relaxed geometry, computed with GGA-PBE.

VASP energy: -81.337 eV/f.u.
total moment: 0.050 Bohr magnetons per cell
space group: No. 12

a b c (Å): 6.717 6.717 7.434
angles (deg): 94.15 94.15 121.09
Fractional positions:
K: 0.000 0.000 0.000
K: 0.342 0.658 0.000
K: 0.658 0.342 0.000
Ac: 0.167 0.833 0.500
Ac: 0.833 0.167 0.500
Pa: 0.500 0.500 0.500
O: 0.177 0.177 0.361
O: 0.227 0.521 0.638
O: 0.479 0.773 0.362
O: 0.521 0.227 0.638
O: 0.773 0.479 0.362
O: 0.823 0.823 0.639



Entry 4:
Crystalline K4Ac3PbO8 at its relaxed geometry, computed with GGA-PBE.

VASP energy: -95.133 eV/f.u.
total moment: 0.000 Bohr magnetons per cell
space group: No. 166

a b c (Å): 7.743 7.743 7.743
angles (deg): 58.83 58.83 58.83
Fractional positions:
K: 0.000 0.000 0.000
K: 0.000 0.500 0.500
K: 0.500 0.000 0.500
K: 0.500 0.500 0.000
Ac: 0.000 0.000 0.500
Ac: 0.000 0.500 0.000
Ac: 0.500 0.000 0.000
Pb: 0.500 0.500 0.500
O: 0.231 0.231 0.231
O: 0.237 0.732 0.732
O: 0.268 0.268 0.763
O: 0.268 0.763 0.268
O: 0.732 0.237 0.732
O: 0.732 0.732 0.237
O: 0.763 0.268 0.268
O: 0.769 0.769 0.769



Entry 5:
Crystalline K2Ac2PbO6 at its relaxed geometry, computed with GGA-PBE.

VASP energy: -66.886 eV/f.u.
total moment: 0.000 Bohr magnetons per cell
space group: No. 12

a b c (Å): 6.434 6.434 6.702
angles (deg): 97.13 97.13 119.61
Fractional positions:
K: 0.152 0.848 0.000
K: 0.848 0.152 0.000
Ac: 0.336 0.664 0.500
Ac: 0.664 0.336 0.500
Pb: 0.000 0.000 0.500
O: 0.038 0.357 0.678
O: 0.234 0.234 0.312
O: 0.357 0.038 0.678
O: 0.643 0.962 0.322
O: 0.766 0.766 0.688
O: 0.962 0.643 0.322



Entry 6:
Crystalline KAc4Pb3O12 at its relaxed geometry, computed with GGA-PBE.

VASP energy: -129.228 eV/f.u.
total moment: 0.000 Bohr magnetons per cell
space group: No. 204

a b c (Å): 7.922 7.922 7.922
angles (deg): 109.47 109.47 109.47
Fractional positions:
K: 0.000 0.000 0.000
Ac: 0.000 0.000 0.500
Ac: 0.000 0.500 0.000
Ac: 0.500 0.000 0.000
Ac: 0.500 0.500 0.500
Pb: 0.000 0.500 0.500
Pb: 0.500 0.000 0.500
Pb: 0.500 0.500 0.000
O: 0.161 0.835 0.327
O: 0.165 0.327 0.492
O: 0.165 0.673 0.839
O: 0.327 0.161 0.835
O: 0.327 0.492 0.165
O: 0.492 0.165 0.327
O: 0.508 0.835 0.673
O: 0.673 0.508 0.835
O: 0.673 0.839 0.165
O: 0.835 0.327 0.161
O: 0.835 0.673 0.508
O: 0.839 0.165 0.673



Entry 7:
Crystalline KAcPb2O4 at its relaxed geometry, computed with GGA-PBE.

VASP energy: -46.612 eV/f.u.
total moment: 0.000 Bohr magnetons per cell
space group: No. 123

a b c (Å): 4.289 4.289 8.908
angles (deg): 90.00 90.00 90.00
Fractional positions:
K: 0.000 0.000 0.000
Ac: 0.000 0.000 0.500
Pb: 0.500 0.500 0.225
Pb: 0.500 0.500 0.775
O: 0.000 0.500 0.328
O: 0.000 0.500 0.672
O: 0.500 0.000 0.328
O: 0.500 0.000 0.672



Entry 8:
Crystalline K3Ac3PbO8 at its relaxed geometry, computed with GGA-PBE.

VASP energy: -92.470 eV/f.u.
total moment: 0.000 Bohr magnetons per cell
space group: No. 166

a b c (Å): 7.707 7.707 7.707
angles (deg): 58.56 58.56 58.56
Fractional positions:
K: 0.000 0.500 0.500
K: 0.500 0.000 0.500
K: 0.500 0.500 0.000
Ac: 0.000 0.000 0.500
Ac: 0.000 0.500 0.000
Ac: 0.500 0.000 0.000
Pb: 0.500 0.500 0.500
O: 0.230 0.230 0.230
O: 0.259 0.713 0.713
O: 0.287 0.287 0.741
O: 0.287 0.741 0.287
O: 0.713 0.259 0.713
O: 0.713 0.713 0.259
O: 0.741 0.287 0.287
O: 0.770 0.770 0.770



Entry 9:
Crystalline KAc2PbO6 at its relaxed geometry, computed with GGA-PBE.

VASP energy: -63.549 eV/f.u.
total moment: 1.101 Bohr magnetons per cell
space group: No. 146

a b c (Å): 6.632 6.632 6.632
angles (deg): 56.50 56.50 56.50
Fractional positions:
K: 0.000 0.000 0.000
Ac: 0.223 0.223 0.223
Ac: 0.732 0.732 0.732
Pb: 0.519 0.519 0.519
O: 0.160 0.434 0.786
O: 0.367 0.890 0.584
O: 0.434 0.786 0.160
O: 0.584 0.367 0.890
O: 0.786 0.160 0.434
O: 0.890 0.584 0.367



Entry 10:
Crystalline KAc2PdO4 at its relaxed geometry, computed with GGA-PBE.

VASP energy: -51.991 eV/f.u.
total moment: 0.000 Bohr magnetons per cell
space group: No. 63

a b c (Å): 6.832 6.832 12.688
angles (deg): 90.00 90.00 146.85
Fractional positions:
K: 0.061 0.939 0.750
K: 0.939 0.061 0.250
Ac: 0.370 0.630 0.563
Ac: 0.370 0.630 0.937
Ac: 0.630 0.370 0.063
Ac: 0.630 0.370 0.437
Pd: 0.229 0.771 0.250
Pd: 0.771 0.229 0.750
O: 0.000 0.000 0.000
O: 0.000 0.000 0.500
O: 0.246 0.754 0.089
O: 0.246 0.754 0.411
O: 0.417 0.583 0.750
O: 0.583 0.417 0.250
O: 0.754 0.246 0.589
O: 0.754 0.246 0.911



Entry 11:
Crystalline K2AcPdO4 at its relaxed geometry, computed with GGA-PBE.

VASP energy: -43.879 eV/f.u.
total moment: 0.000 Bohr magnetons per cell
space group: No. 10

a b c (Å): 5.802 3.760 6.611
angles (deg): 90.00 109.15 90.00
Fractional positions:
K: 0.000 0.000 0.000
K: 0.500 0.500 0.000
Ac: 0.000 0.500 0.500
Pd: 0.500 0.000 0.500
O: 0.269 0.000 0.692
O: 0.297 0.500 0.309
O: 0.703 0.500 0.691
O: 0.731 0.000 0.308



Entry 12:
Crystalline K3Ac3PdO8 at its relaxed geometry, computed with GGA-PBE.

VASP energy: -91.791 eV/f.u.
total moment: 0.000 Bohr magnetons per cell
space group: No. 166

a b c (Å): 7.621 7.621 7.621
angles (deg): 58.00 58.00 58.00
Fractional positions:
K: 0.000 0.500 0.500
K: 0.500 0.000 0.500
K: 0.500 0.500 0.000
Ac: 0.000 0.000 0.500
Ac: 0.000 0.500 0.000
Ac: 0.500 0.000 0.000
Pd: 0.500 0.500 0.500
O: 0.233 0.233 0.233
O: 0.270 0.704 0.704
O: 0.296 0.296 0.730
O: 0.296 0.730 0.296
O: 0.704 0.270 0.704
O: 0.704 0.704 0.270
O: 0.730 0.296 0.296
O: 0.767 0.767 0.767



Entry 13:
Crystalline KAcPdO4 at its relaxed geometry, computed with GGA-PBE.

VASP energy: -40.903 eV/f.u.
total moment: 0.000 Bohr magnetons per cell
space group: No. 11

a b c (Å): 6.293 5.648 8.259
angles (deg): 90.00 107.37 90.00
Fractional positions:
K: 0.123 0.250 0.142
K: 0.877 0.750 0.858
Ac: 0.263 0.750 0.476
Ac: 0.737 0.250 0.524
Pd: 0.318 0.250 0.728
Pd: 0.682 0.750 0.272
O: 0.061 0.250 0.805
O: 0.123 0.250 0.486
O: 0.462 0.520 0.304
O: 0.462 0.980 0.304
O: 0.538 0.020 0.696
O: 0.538 0.480 0.696
O: 0.877 0.750 0.514
O: 0.939 0.750 0.195



Entry 14:
Crystalline KAcPdO3 at its relaxed geometry, computed with GGA-PBE.

VASP energy: -36.867 eV/f.u.
total moment: 0.000 Bohr magnetons per cell
space group: No. 12

a b c (Å): 7.234 7.234 7.723
angles (deg): 105.36 105.36 32.67
Fractional positions:
K: 0.141 0.141 0.066
K: 0.859 0.859 0.934
Ac: 0.150 0.150 0.587
Ac: 0.850 0.850 0.413
Pd: 0.493 0.493 0.731
Pd: 0.507 0.507 0.269
O: 0.007 0.007 0.305
O: 0.336 0.336 0.638
O: 0.351 0.351 0.208
O: 0.649 0.649 0.792
O: 0.664 0.664 0.362
O: 0.993 0.993 0.695



Entry 15:
Crystalline K2AcPd3O6 at its relaxed geometry, computed with GGA-PBE.

VASP energy: -65.853 eV/f.u.
total moment: 2.324 Bohr magnetons per cell
space group: No. 123

a b c (Å): 4.048 4.048 13.133
angles (deg): 90.00 90.00 90.00
Fractional positions:
K: 0.000 0.000 0.189
K: 0.000 0.000 0.811
Ac: 0.000 0.000 0.500
Pd: 0.500 0.500 0.000
Pd: 0.500 0.500 0.351
Pd: 0.500 0.500 0.649
O: 0.000 0.500 0.378
O: 0.000 0.500 0.622
O: 0.500 0.000 0.378
O: 0.500 0.000 0.622
O: 0.500 0.500 0.142
O: 0.500 0.500 0.858



Entry 16:
Crystalline K2Ac2PdO6 at its relaxed geometry, computed with GGA-PBE.

VASP energy: -66.484 eV/f.u.
total moment: 0.000 Bohr magnetons per cell
space group: No. 12

a b c (Å): 6.231 6.231 6.631
angles (deg): 96.42 96.42 119.26
Fractional positions:
K: 0.144 0.856 0.000
K: 0.856 0.144 0.000
Ac: 0.337 0.663 0.500
Ac: 0.663 0.337 0.500
Pd: 0.000 0.000 0.500
O: 0.035 0.330 0.670
O: 0.233 0.233 0.315
O: 0.330 0.035 0.670
O: 0.670 0.965 0.330
O: 0.767 0.767 0.685
O: 0.965 0.670 0.330



Entry 17:
Crystalline KAc4Pd3O12 at its relaxed geometry, computed with GGA-PBE.

VASP energy: -129.343 eV/f.u.
total moment: 5.028 Bohr magnetons per cell
space group: No. 204

a b c (Å): 7.651 7.651 7.651
angles (deg): 109.47 109.47 109.47
Fractional positions:
K: 0.000 0.000 0.000
Ac: 0.000 0.000 0.500
Ac: 0.000 0.500 0.000
Ac: 0.500 0.000 0.000
Ac: 0.500 0.500 0.500
Pd: 0.000 0.500 0.500
Pd: 0.500 0.000 0.500
Pd: 0.500 0.500 0.000
O: 0.152 0.485 0.334
O: 0.152 0.818 0.666
O: 0.182 0.334 0.848
O: 0.334 0.152 0.485
O: 0.334 0.848 0.182
O: 0.485 0.334 0.152
O: 0.515 0.666 0.848
O: 0.666 0.152 0.818
O: 0.666 0.848 0.515
O: 0.818 0.666 0.152
O: 0.848 0.182 0.334
O: 0.848 0.515 0.666



Entry 18:
Crystalline K4Ac3PrO8 at its relaxed geometry, computed with GGA-PBE.

VASP energy: -102.148 eV/f.u.
total moment: 0.000 Bohr magnetons per cell
space group: No. 166

a b c (Å): 7.730 7.730 7.730
angles (deg): 59.24 59.24 59.24
Fractional positions:
K: 0.000 0.000 0.000
K: 0.000 0.500 0.500
K: 0.500 0.000 0.500
K: 0.500 0.500 0.000
Ac: 0.000 0.000 0.500
Ac: 0.000 0.500 0.000
Ac: 0.500 0.000 0.000
Pr: 0.500 0.500 0.500
O: 0.232 0.232 0.232
O: 0.239 0.727 0.727
O: 0.273 0.273 0.761
O: 0.273 0.761 0.273
O: 0.727 0.239 0.727
O: 0.727 0.727 0.239
O: 0.761 0.273 0.273
O: 0.768 0.768 0.768



Entry 19:
Crystalline KAc4PrO8 at its relaxed geometry, computed with GGA-PBE.

VASP energy: -104.281 eV/f.u.
total moment: 0.000 Bohr magnetons per cell
space group: No. 160

a b c (Å): 7.503 7.503 7.503
angles (deg): 60.87 60.87 60.87
Fractional positions:
K: 0.000 0.000 0.000
Ac: 0.372 0.372 0.880
Ac: 0.372 0.880 0.372
Ac: 0.750 0.750 0.750
Ac: 0.880 0.372 0.372
Pr: 0.371 0.371 0.371
O: 0.146 0.146 0.146
O: 0.148 0.613 0.613
O: 0.151 0.151 0.557
O: 0.151 0.557 0.151
O: 0.557 0.151 0.151
O: 0.613 0.148 0.613
O: 0.613 0.613 0.148
O: 0.618 0.618 0.618



Let's list calculated volume in order: 357.04, 187.45, 284.06, 319.43, 233.76, 382.73, 163.85, 312.97, 189.59, 161.94, 136.26, 298.64, 140.10, 104.84, 215.24, 219.03, 344.72, 320.99, 304.53 Å³/f.u..